A geometry-optimized TbGaPb structure. Source: Alexandria via LeMat-Bulk, functional PBE-GGA.

Cell and atoms, written as POSCAR:
```
TbGaPb
1.0
-1.864 0.499 4.033
-1.793 -4.097 -0.322
4.065 0.532 1.814
Pb Tb Ga
1 1 1
direct
0.723 0.667 0.333 Pb
0.294 0.333 0.667 Tb
0.983 0.000 0.000 Ga
```

Properties
**DFT formation energy**: -0.38 eV/atom
**Theoretical density**: 9299 kg/m³
**E above lowest polymorph**: 0.007 eV per atom
**M_tot**: 0.00 Bohr magnetons per cell
**Total energy**: -4.173 eV per atom
**Crystal system**: trigonal
**Volume**: 77.8 Å³/cell
**Symmetry**: P3m1, No. 156



A geometry-optimized Tb3GaPb structure. Source: Alexandria via LeMat-Bulk, functional PBE-GGA.

Cell and atoms, written as POSCAR:
```
Tb3GaPb
1.0
5.895 -1.394 0.193
1.671 5.822 0.193
3.425 2.004 15.808
Tb Ga Pb
12 4 4
direct
0.668 0.913 0.802 Tb
0.087 0.332 0.698 Tb
0.332 0.087 0.198 Tb
0.913 0.668 0.302 Tb
0.526 0.713 0.559 Tb
0.287 0.474 0.941 Tb
0.474 0.287 0.441 Tb
0.713 0.526 0.059 Tb
0.080 0.989 0.905 Tb
0.011 0.920 0.595 Tb
0.989 0.080 0.405 Tb
0.920 0.011 0.095 Tb
0.829 0.422 0.878 Ga
0.578 0.171 0.622 Ga
0.171 0.578 0.122 Ga
0.422 0.829 0.378 Ga
0.000 0.500 0.500 Pb
0.500 0.000 0.000 Pb
0.766 0.234 0.250 Pb
0.234 0.766 0.750 Pb
```

Properties
**DFT formation energy**: -0.29 eV/atom
**Theoretical density**: 8737 kg/m³
**M_tot**: 0.00 Bohr magnetons per cell
**Total energy**: -4.412 eV per atom
**Crystal system**: monoclinic
**Volume**: 573.0 Å³/cell
**Symmetry**: C2/c, No. 15



A geometry-optimized Tb7Ga2Pb2 structure. Source: Alexandria via LeMat-Bulk, functional PBE-GGA.

Cell and atoms, written as POSCAR:
```
Tb7Ga2Pb2
1.0
-2.333 6.039 2.486
-3.331 -3.537 5.465
6.154 -1.247 2.944
Tb Ga Pb
7 2 2
direct
0.000 0.273 0.500 Tb
0.500 0.727 0.000 Tb
0.000 0.727 0.500 Tb
0.500 0.273 0.000 Tb
0.000 0.000 0.000 Tb
0.500 0.762 0.500 Tb
0.500 0.238 0.500 Tb
0.716 0.000 0.284 Ga
0.284 0.000 0.716 Ga
0.814 0.500 0.814 Pb
0.186 0.500 0.186 Pb
```

Properties
**DFT formation energy**: -0.20 eV/atom
**Theoretical density**: 8257 kg/m³
**M_tot**: 0.00 Bohr magnetons per cell
**Total energy**: -4.369 eV per atom
**Crystal system**: orthorhombic
**Volume**: 335.1 Å³/cell
**Symmetry**: Cmmm, No. 65



A geometry-optimized TbGaPb structure. Source: Alexandria via LeMat-Bulk, functional PBE-GGA.

Cell and atoms, written as POSCAR:
```
TbGaPb
1.0
-2.903 -0.628 -3.039
3.267 0.275 -3.178
-0.469 -8.009 2.104
Tb Ga Pb
2 2 2
direct
0.250 0.087 0.174 Tb
0.750 0.913 0.826 Tb
0.250 0.449 0.899 Ga
0.750 0.551 0.101 Ga
0.250 0.734 0.468 Pb
0.750 0.266 0.532 Pb
```

Properties
**DFT formation energy**: -0.39 eV/atom
**Theoretical density**: 9355 kg/m³
**E above lowest polymorph**: 0.000 eV per atom
**M_tot**: 0.00 Bohr magnetons per cell
**Total energy**: -4.180 eV per atom
**Crystal system**: orthorhombic
**Volume**: 154.7 Å³/cell
**Symmetry**: Cmcm, No. 63



A geometry-optimized Tb2GaPb structure. Source: Alexandria via LeMat-Bulk, functional PBE-GGA.

Cell and atoms, written as POSCAR:
```
Tb2GaPb
1.0
-2.809 1.938 -0.555
0.054 -0.880 -3.343
-5.026 -6.794 1.707
Pb Tb Ga
1 2 1
direct
0.500 0.500 0.500 Pb
0.000 0.000 0.775 Tb
0.000 0.000 0.225 Tb
0.500 0.500 0.000 Ga
```

Properties
**DFT formation energy**: -0.50 eV/atom
**Theoretical density**: 9583 kg/m³
**M_tot**: 0.00 Bohr magnetons per cell
**Total energy**: -4.503 eV per atom
**Crystal system**: tetragonal
**Volume**: 103.1 Å³/cell
**Symmetry**: P4/mmm, No. 123



A geometry-optimized Tb2GaPb structure. Source: Alexandria via LeMat-Bulk, functional PBE-GGA.

Cell and atoms, written as POSCAR:
```
Tb2GaPb
1.0
4.265 0.000 0.000
0.000 4.400 -0.782
0.000 -0.139 11.998
Tb Ga Pb
4 2 2
direct
0.750 0.673 0.345 Tb
0.250 0.327 0.655 Tb
0.750 0.940 0.879 Tb
0.250 0.060 0.121 Tb
0.250 0.465 0.930 Ga
0.750 0.535 0.070 Ga
0.250 0.192 0.384 Pb
0.750 0.808 0.616 Pb
```

Properties
**DFT formation energy**: -0.46 eV/atom
**Theoretical density**: 8790 kg/m³
**M_tot**: 0.00 Bohr magnetons per cell
**Total energy**: -4.458 eV per atom
**Crystal system**: orthorhombic
**Volume**: 224.7 Å³/cell
**Symmetry**: Cmcm, No. 63



A geometry-optimized Tb5GaPb4 structure. Source: Alexandria via LeMat-Bulk, functional PBE-GGA.

Cell and atoms, written as POSCAR:
```
Tb5GaPb4
1.0
-3.107 -5.417 0.400
3.078 -5.682 -4.099
2.358 -4.547 5.685
Tb Ga Pb
5 1 4
direct
0.897 0.389 0.814 Tb
0.286 0.814 0.611 Tb
0.711 0.186 0.389 Tb
0.100 0.611 0.186 Tb
0.510 0.000 0.000 Tb
0.013 0.000 0.000 Ga
0.407 0.397 0.787 Pb
0.803 0.787 0.603 Pb
0.193 0.213 0.397 Pb
0.590 0.603 0.213 Pb
```

Properties
**DFT formation energy**: -0.32 eV/atom
**Theoretical density**: 9214 kg/m³
**M_tot**: 0.00 Bohr magnetons per cell
**Total energy**: -4.416 eV per atom
**Crystal system**: tetragonal
**Volume**: 305.2 Å³/cell
**Symmetry**: I4, No. 79



A geometry-optimized Tb2GaPb structure. Source: Alexandria via LeMat-Bulk, functional PBE-GGA.

Cell and atoms, written as POSCAR:
```
Tb2GaPb
1.0
-1.040 0.833 3.991
5.183 -2.615 1.896
1.027 8.838 -1.576
Tb Ga Pb
4 2 2
direct
0.750 0.214 0.439 Tb
0.250 0.786 0.561 Tb
0.250 0.767 0.075 Tb
0.750 0.233 0.925 Tb
0.750 0.677 0.293 Ga
0.250 0.323 0.707 Ga
0.250 0.327 0.210 Pb
0.750 0.673 0.790 Pb
```

Properties
**DFT formation energy**: -0.57 eV/atom
**Theoretical density**: 9184 kg/m³
**M_tot**: 0.00 Bohr magnetons per cell
**Total energy**: -4.567 eV per atom
**Crystal system**: monoclinic
**Volume**: 215.1 Å³/cell
**Symmetry**: P2_1/m, No. 11